VASP calculation (PBE) on an optimized crystal structure of SrGa2F7.

Results
The density of states at the Fermi level is 0.8 states/eV per cell. The value obtained for the raw total energy is -4.81 eV per atom. The formation energy without anion corrections comes out at -262.7 kJ per mole of atoms. The value obtained for the calculated volume is 13.75 Å³/atom.

Unit cell a=3.931 b=6.128 c=6.128 alpha=111.36 beta=90.00 gamma=90.00
Sites, in units of the cell vectors:
Sr (0.000, 0.000, 0.000)
Ga (0.500, 0.696, 0.304)
Ga (0.500, 0.304, 0.696)
F (0.000, 0.716, 0.284)
F (0.000, 0.284, 0.716)
F (0.500, 0.044, 0.315)
F (0.500, 0.956, 0.685)
F (0.500, 0.315, 0.044)
F (0.500, 0.685, 0.956)
F (0.500, 0.500, 0.500)